The following is a DFT calculation (GGA-PBE) of a geometry-optimized LaHf3Rh structure.

Values from the calculation:
**Symmetry**: Pm-3m (221)
**Formation energy**: 1.738 eV per atom
**Offset from the most stable computed form**: 1696 meV/atom
**V**: 25.681 Å³/atom

abc: 5.0450 5.0450 5.0450
angles: 90.00 90.00 90.00
Last column: nearest neighbours and their distance in Å.
Positions (direct):
1 La 0.0000 0.0000 0.0000  6 Hf 2.52
2 Hf 0.0000 0.0000 0.5000  2 La 2.52
3 Hf 0.0000 0.5000 0.0000  2 La 2.52
4 Hf 0.5000 0.0000 0.0000  2 La 2.52
5 Rh 0.5000 0.5000 0.5000  12 Hf 3.57